Density functional theory data (PBE) for a relaxed Tb3TlP crystal.

Calculated formation energy = -813 meV/atom
Energy above the lowest structure with this stoichiometry = 0 meV/atom

The structure in POSCAR format:
```
Tb3TlP
1.0
8.946 0.000 0.000
0.000 4.014 0.000
0.000 0.000 15.251
Tb Tl P
12 4 4
direct
0.026 0.250 0.108
0.163 0.250 0.515
0.192 0.750 0.290
0.308 0.250 0.790
0.337 0.750 0.015
0.474 0.750 0.608
0.526 0.250 0.392
0.663 0.250 0.985
0.692 0.750 0.210
0.808 0.250 0.710
0.837 0.750 0.485
0.974 0.750 0.892
0.091 0.750 0.678
0.409 0.250 0.178
0.591 0.750 0.822
0.909 0.250 0.322
0.166 0.250 0.946
0.334 0.750 0.446
0.666 0.250 0.554
0.834 0.750 0.054
```

***

Density functional theory data (PBE) for a relaxed KAl2Tc crystal.

Calculated formation energy = 686 meV/atom
Energy above the lowest structure with this stoichiometry = 604 meV/atom

The structure in POSCAR format:
```
KAl2Tc
1.0
3.338 -3.897 0.000
3.338 3.897 0.000
0.000 0.000 2.818
K Al Tc
1 2 1
direct
0.000 0.000 0.000
0.000 0.500 0.500
0.500 0.000 0.500
0.500 0.500 0.000
```

***

Density functional theory data (PBE) for a relaxed MgRh3C crystal.

Calculated formation energy = 47 meV/atom

The structure in POSCAR format:
```
MgRh3C
1.0
0.000 5.370 5.370
5.370 0.000 5.370
5.370 5.370 0.000
Mg Rh C
4 12 4
direct
0.000 0.000 0.000
0.000 0.000 0.500
0.000 0.500 0.000
0.500 0.000 0.000
0.181 0.181 0.569
0.181 0.569 0.181
0.181 0.569 0.569
0.431 0.431 0.819
0.431 0.819 0.431
0.431 0.819 0.819
0.569 0.181 0.181
0.569 0.181 0.569
0.569 0.569 0.181
0.819 0.431 0.431
0.819 0.431 0.819
0.819 0.819 0.431
0.000 0.500 0.500
0.500 0.000 0.500
0.500 0.500 0.000
0.500 0.500 0.500
```

***

Density functional theory data (PBE) for a relaxed LiAg2Te3 crystal.

Uncorrected formation energy = -104.0 kJ/mol of formula units

The structure in POSCAR format:
```
LiAg2Te3
1.0
8.288 -2.939 0.000
8.288 2.939 0.000
-1.952 0.000 6.068
Li Ag Te
2 4 6
direct
0.010 0.990 0.750
0.990 0.010 0.250
0.337 0.338 0.393
0.338 0.337 0.893
0.662 0.663 0.107
0.663 0.662 0.607
0.164 0.165 0.100
0.165 0.164 0.600
0.492 0.508 0.250
0.508 0.492 0.750
0.835 0.836 0.400
0.836 0.835 0.900
```

***

What did the third record say?
Density functional theory data (PBE) for a relaxed MgRh3C crystal.

Calculated formation energy = 47 meV/atom

The structure in POSCAR format:
```
MgRh3C
1.0
0.000 5.370 5.370
5.370 0.000 5.370
5.370 5.370 0.000
Mg Rh C
4 12 4
direct
0.000 0.000 0.000
0.000 0.000 0.500
0.000 0.500 0.000
0.500 0.000 0.000
0.181 0.181 0.569
0.181 0.569 0.181
0.181 0.569 0.569
0.431 0.431 0.819
0.431 0.819 0.431
0.431 0.819 0.819
0.569 0.181 0.181
0.569 0.181 0.569
0.569 0.569 0.181
0.819 0.431 0.431
0.819 0.431 0.819
0.819 0.819 0.431
0.000 0.500 0.500
0.500 0.000 0.500
0.500 0.500 0.000
0.500 0.500 0.500
```